(1)
Density functional theory data (PBE-GGA) for an optimized crystal structure of NaLiPd2W.

Computed properties:
volume: 25.8 A^3/atom
SG: P4/mmm (123)
formation energy from the elements: 1.033 eV per atom
M_tot: 1.11 μB/cell

Structure (extended XYZ):
```
5
Lattice="4.826 0.000 0.000 0.000 5.544 0.000 0.000 0.000 4.826" Properties=species:S:1:pos:R:3 pbc="T T T"
Na 0.000 2.772 0.000
Pd 0.000 0.000 2.413
Pd 2.413 0.000 0.000
W 0.000 0.000 0.000
Li 2.413 2.772 2.413
```

=====

(2)
Density functional theory data (PBE-GGA) for an optimized crystal structure of NaLiZn2Pd.

Computed properties:
volume: 22.7 A^3/atom
SG: P4/mmm (123)
formation energy from the elements: -0.122 eV per atom
M_tot: 0.00 μB/cell

Structure (extended XYZ):
```
5
Lattice="4.877 0.000 0.000 0.000 4.877 0.000 0.000 0.000 4.778" Properties=species:S:1:pos:R:3 pbc="T T T"
Na 2.438 2.438 2.389
Zn 0.000 2.438 0.000
Zn 2.438 0.000 0.000
Pd 0.000 0.000 0.000
Li 0.000 0.000 2.389
```

=====

(3)
Density functional theory data (PBE-GGA) for an optimized crystal structure of NaLiZnPd.

Computed properties:
volume: 16.6 A^3/atom
SG: F-43m (216)
formation energy from the elements: -0.218 eV per atom
M_tot: 0.00 μB/cell

Structure (extended XYZ):
```
4
Lattice="-2.391 -0.631 3.810 -0.437 -4.172 1.742 2.129 -1.082 3.864" Properties=species:S:1:pos:R:3 pbc="T T T"
Na -0.175 -1.471 2.354
Zn 0.000 0.000 0.000
Pd -0.524 -4.414 7.062
Li -0.350 -2.942 4.708
```